The following is a PBE calculation of crystalline Sc5Fe4 at its relaxed geometry, from Alexandria.

Unit cell a=7.918 b=7.918 c=5.656 alpha=90.00 beta=90.00 gamma=120.00
Element x y z (fractional)
Sc 0.000 0.275 0.250
Sc 0.000 0.725 0.750
Sc 0.275 0.000 0.250
Sc 0.275 0.275 0.750
Sc 0.333 0.667 0.000
Sc 0.333 0.667 0.500
Sc 0.667 0.333 0.000
Sc 0.667 0.333 0.500
Sc 0.725 0.000 0.750
Sc 0.725 0.725 0.250
Fe 0.000 0.000 0.000
Fe 0.000 0.000 0.500
Fe 0.000 0.373 0.750
Fe 0.000 0.627 0.250
Fe 0.373 0.000 0.750
Fe 0.373 0.373 0.250
Fe 0.627 0.000 0.250
Fe 0.627 0.627 0.750

Computed properties:
space-group type = No. 193
crystal system = hexagonal
energy of formation from the pure elements = 43 meV/atom


The following is a PBE calculation of crystalline Ag2RuBr at its relaxed geometry, from Alexandria.

Unit cell a=3.053 b=3.053 c=8.147 alpha=90.00 beta=90.00 gamma=90.00
Element x y z (fractional)
Ag 0.000 0.000 0.000
Ag 0.500 0.500 0.236
Ru 0.500 0.500 0.757
Br 0.000 0.000 0.580

Computed properties:
ΔE_f (raw) = 0.520 eV per atom
space-group type = No. 99
crystal system = tetragonal


The following is a PBE calculation of crystalline GaGe at its relaxed geometry, from Alexandria.

Unit cell a=3.870 b=3.870 c=7.280 alpha=90.00 beta=90.00 gamma=120.00
Element x y z (fractional)
Ga 0.333 0.667 0.000
Ga 0.667 0.333 0.500
Ge 0.333 0.667 0.338
Ge 0.667 0.333 0.838

Computed properties:
space-group type = No. 186
crystal system = hexagonal
energy of formation from the pure elements = 169 meV/atom


The following is a PBE calculation of crystalline TaInBr2 at its relaxed geometry, from Alexandria.

Unit cell a=4.983 b=4.983 c=4.983 alpha=60.00 beta=60.00 gamma=60.00
Element x y z (fractional)
Ta 0.000 0.000 0.000
In 0.500 0.500 0.500
Br 0.250 0.250 0.250
Br 0.750 0.750 0.750

Computed properties:
ΔE_f (raw) = 0.648 eV per atom
space-group type = No. 225
crystal system = cubic


The following is a PBE calculation of crystalline AcPuSb2Pd2 at its relaxed geometry, from Alexandria.

Unit cell a=4.654 b=4.654 c=8.176 alpha=90.00 beta=90.00 gamma=120.00
Element x y z (fractional)
Ac 0.000 0.000 0.000
Pu 0.000 0.000 0.500
Sb 0.333 0.667 0.273
Sb 0.667 0.333 0.727
Pd 0.333 0.667 0.735
Pd 0.667 0.333 0.265

Computed properties:
ΔE_f (raw) = -0.893 eV per atom
space-group type = No. 164
crystal system = trigonal


The following is a PBE calculation of crystalline CaCd2Ir at its relaxed geometry, from Alexandria.

Unit cell a=4.263 b=4.263 c=4.519 alpha=90.00 beta=90.00 gamma=90.00
Element x y z (fractional)
Ca 0.000 0.000 0.000
Cd 0.000 0.500 0.500
Cd 0.500 0.000 0.500
Ir 0.500 0.500 0.000

Computed properties:
space-group type = No. 123
crystal system = tetragonal
energy of formation from the pure elements = -73 meV/atom